(1)
Compound: BiMoAs2Br
Source: Alexandria
Functional: meta-GGA SCAN
Structure: single point on PBEsol structure

Properties
Formation energy (no corrections) ... 460 meV per atom
Space-group type ... P4/mmm (123)

a b c (Å): 4.8305 4.8305 5.1532
angles (deg): 90.00 90.00 90.00
Positions (direct):
Bi1 0.0000 0.0000 0.0000
Mo1 0.5000 0.5000 0.5000
As1 0.0000 0.5000 0.5000
As2 0.5000 0.0000 0.5000
Br1 0.5000 0.5000 0.0000

=====

(2)
Compound: Ba2TeIr
Source: Alexandria
Functional: meta-GGA SCAN
Structure: single point on PBEsol structure

Properties
Formation energy (no corrections) ... -135 meV per atom
Space-group type ... F-43m (216)

a b c (Å): 5.3947 5.3947 5.3947
angles (deg): 60.00 60.00 60.00
Positions (direct):
Ba1 0.0000 0.0000 0.0000
Ba2 0.2500 0.2500 0.2500
Te1 0.5000 0.5000 0.5000
Ir1 0.7500 0.7500 0.7500

=====

(3)
Compound: Ca3Cu8Sn4
Source: Alexandria
Functional: meta-GGA SCAN
Structure: single point on PBEsol structure

Properties
Energy relative to the elements ... -5.0 eV per formula unit
Space-group type ... P6_3mc (186)

a b c (Å): 9.0098 9.0098 7.6242
angles (deg): 90.00 90.00 120.00
Positions (direct):
Ca1 0.0506 0.5253 0.0000
Ca2 0.4747 0.5253 0.0000
Ca3 0.4747 0.9494 0.0000
Ca4 0.5253 0.0506 0.5000
Ca5 0.5253 0.4747 0.5000
Ca6 0.9494 0.4747 0.5000
Cu1 0.0000 0.0000 0.2763
Cu2 0.0000 0.0000 0.7763
Cu3 0.1018 0.2036 0.0241
Cu4 0.1018 0.8982 0.0241
Cu5 0.1632 0.3265 0.3331
Cu6 0.1632 0.8368 0.3331
Cu7 0.2036 0.1018 0.5241
Cu8 0.3265 0.1632 0.8331
Cu9 0.3333 0.6667 0.6651
Cu10 0.6667 0.3333 0.1651
Cu11 0.6735 0.8368 0.3331
Cu12 0.7964 0.8982 0.0241
Cu13 0.8368 0.1632 0.8331
Cu14 0.8368 0.6735 0.8331
Cu15 0.8982 0.1018 0.5241
Cu16 0.8982 0.7964 0.5241
Sn1 0.1689 0.3377 0.7064
Sn2 0.1689 0.8311 0.7064
Sn3 0.3333 0.6667 0.3085
Sn4 0.3377 0.1689 0.2064
Sn5 0.6623 0.8311 0.7064
Sn6 0.6667 0.3333 0.8085
Sn7 0.8311 0.1689 0.2064
Sn8 0.8311 0.6623 0.2064

=====

(4)
Compound: Rb2InGaCl6
Source: Alexandria
Functional: meta-GGA SCAN
Structure: single point on PBEsol structure

Properties
Formation energy (no corrections) ... -1548 meV per atom
Space-group type ... Fm-3m (225)

a b c (Å): 7.4604 7.4604 7.4604
angles (deg): 60.00 60.00 60.00
Positions (direct):
Rb1 0.2500 0.2500 0.2500
Rb2 0.7500 0.7500 0.7500
In1 0.0000 0.0000 0.0000
Ga1 0.5000 0.5000 0.5000
Cl1 0.2394 0.2394 0.7606
Cl2 0.2394 0.7606 0.2394
Cl3 0.2394 0.7606 0.7606
Cl4 0.7606 0.2394 0.2394
Cl5 0.7606 0.2394 0.7606
Cl6 0.7606 0.7606 0.2394

=====

(5)
Compound: LiP2RuS
Source: Alexandria
Functional: meta-GGA SCAN
Structure: single point on PBEsol structure

Properties
Formation energy (no corrections) ... 1099 meV per atom
Energy above the lowest structure with this stoichiometry ... 900 meV per atom
Space-group type ... P4/mmm (123)

a b c (Å): 4.0717 4.0717 4.2553
angles (deg): 90.00 90.00 90.00
Positions (direct):
Li1 0.0000 0.0000 0.0000
P1 0.0000 0.5000 0.0000
P2 0.5000 0.0000 0.0000
Ru1 0.5000 0.5000 0.5000
S1 0.0000 0.0000 0.5000

=====

(6)
Compound: CoTeSe2I
Source: Alexandria
Functional: meta-GGA SCAN
Structure: single point on PBEsol structure

Properties
Formation energy (no corrections) ... 1014 meV per atom
Space-group type ... P4/mmm (123)

a b c (Å): 5.4384 5.4384 4.6219
angles (deg): 90.00 90.00 90.00
Positions (direct):
Co1 0.0000 0.0000 0.0000
Te1 0.5000 0.5000 0.0000
Se1 0.0000 0.5000 0.5000
Se2 0.5000 0.0000 0.5000
I1 0.0000 0.0000 0.5000

=====

(7)
Compound: ScCd2Os
Source: Alexandria
Functional: meta-GGA SCAN
Structure: single point on PBEsol structure

Properties
Energy relative to the elements ... 0.4 eV per formula unit
Energy above the lowest structure with this stoichiometry ... 35 meV per atom
Space-group type ... Pmmm (47)

a b c (Å): 2.8532 4.4426 5.5616
angles (deg): 90.00 90.00 90.00
Positions (direct):
Sc1 0.0000 0.0000 0.0000
Cd1 0.5000 0.5000 0.2590
Cd2 0.5000 0.5000 0.7410
Os1 0.0000 0.0000 0.5000

=====

(8)
Compound: CeYIn2
Source: Alexandria
Functional: meta-GGA SCAN
Structure: single point on PBEsol structure

Properties
Energy relative to the elements ... -2.4 eV per formula unit
Space-group type ... Fm-3m (225)

a b c (Å): 5.2960 5.2960 5.2960
angles (deg): 60.00 60.00 60.00
Positions (direct):
Ce1 0.0000 0.0000 0.0000
Y1 0.5000 0.5000 0.5000
In1 0.2500 0.2500 0.2500
In2 0.7500 0.7500 0.7500

=====

(9)
Compound: Ac2SiHg
Source: Alexandria
Functional: meta-GGA SCAN
Structure: single point on PBEsol structure

Properties
Formation energy (no corrections) ... -495 meV per atom
Space-group type ... Fm-3m (225)

a b c (Å): 5.4917 5.4917 5.4917
angles (deg): 60.00 60.00 60.00
Positions (direct):
Ac1 0.2500 0.2500 0.2500
Ac2 0.7500 0.7500 0.7500
Si1 0.0000 0.0000 0.0000
Hg1 0.5000 0.5000 0.5000

=====

(10)
Compound: Ba5Ca3
Source: Alexandria
Functional: meta-GGA SCAN
Structure: single point on PBEsol structure

Properties
Energy relative to the elements ... 0.8 eV per formula unit
Energy above the lowest structure with this stoichiometry ... 0 meV per atom
Space-group type ... I4/mcm (140)

a b c (Å): 11.3164 11.3164 11.3164
angles (deg): 96.10 96.10 141.96
Positions (direct):
Ba1 0.0771 0.7737 0.8507
Ba2 0.2263 0.0771 0.3034
Ba3 0.2500 0.7500 0.5000
Ba4 0.2737 0.5771 0.8507
Ba5 0.4229 0.2737 0.6966
Ba6 0.5771 0.7263 0.3034
Ba7 0.7263 0.4229 0.1493
Ba8 0.7500 0.2500 0.5000
Ba9 0.7737 0.9229 0.6966
Ba10 0.9229 0.2263 0.1493
Ca1 0.1734 0.3266 0.5000
Ca2 0.2500 0.2500 0.0000
Ca3 0.3266 0.8266 0.1532
Ca4 0.6734 0.1734 0.8468
Ca5 0.7500 0.7500 0.0000
Ca6 0.8266 0.6734 0.5000

=====

(11)
Compound: CsScCl3
Source: Alexandria
Functional: meta-GGA SCAN
Structure: single point on PBEsol structure

Properties
Formation energy (no corrections) ... -2231 meV per atom
Space-group type ... P6_3/mmc (194)

a b c (Å): 7.3477 7.3477 5.8741
angles (deg): 90.00 90.00 120.00
Positions (direct):
Cs1 0.3333 0.6667 0.2500
Cs2 0.6667 0.3333 0.7500
Sc1 0.0000 0.0000 0.0000
Sc2 0.0000 0.0000 0.5000
Cl1 0.1645 0.3290 0.7500
Cl2 0.1645 0.8355 0.7500
Cl3 0.3290 0.1645 0.2500
Cl4 0.6710 0.8355 0.7500
Cl5 0.8355 0.1645 0.2500
Cl6 0.8355 0.6710 0.2500

=====

(12)
Compound: SrCd2Rh2
Source: Alexandria
Functional: meta-GGA SCAN
Structure: single point on PBEsol structure

Properties
Energy relative to the elements ... -0.9 eV per formula unit
Energy above the lowest structure with this stoichiometry ... 37 meV per atom
Space-group type ... P4/mbm (127)

a b c (Å): 7.7426 7.7426 3.1864
angles (deg): 90.00 90.00 90.00
Positions (direct):
Sr1 0.0000 0.0000 0.0000
Sr2 0.5000 0.5000 0.0000
Cd1 0.1565 0.3435 0.5000
Cd2 0.3435 0.8435 0.5000
Cd3 0.6565 0.1565 0.5000
Cd4 0.8435 0.6565 0.5000
Rh1 0.1358 0.6358 0.0000
Rh2 0.3642 0.1358 0.0000
Rh3 0.6358 0.8642 0.0000
Rh4 0.8642 0.3642 0.0000

=====

(13)
Compound: LiLa2
Source: Alexandria
Functional: meta-GGA SCAN
Structure: single point on PBEsol structure

Properties
Energy relative to the elements ... 0.2 eV per formula unit
Energy above the lowest structure with this stoichiometry ... 17 meV per atom
Space-group type ... Cmcm (63)

a b c (Å): 8.8586 8.8586 5.6350
angles (deg): 90.00 90.00 156.21
Positions (direct):
Li1 0.0612 0.9388 0.7500
Li2 0.9388 0.0612 0.2500
La1 0.2776 0.7224 0.2500
La2 0.4016 0.5984 0.7500
La3 0.5984 0.4016 0.2500
La4 0.7224 0.2776 0.7500

=====

(14)
Compound: ZrRh2W
Source: Alexandria
Functional: meta-GGA SCAN
Structure: single point on PBEsol structure

Properties
Energy relative to the elements ... -1.4 eV per formula unit
Energy above the lowest structure with this stoichiometry ... 0 meV per atom
Space-group type ... P4/mmm (123)

a b c (Å): 4.0388 4.0388 3.8193
angles (deg): 90.00 90.00 90.00
Positions (direct):
Zr1 0.0000 0.0000 0.0000
Rh1 0.0000 0.5000 0.5000
Rh2 0.5000 0.0000 0.5000
W1 0.5000 0.5000 0.0000

=====

(15)
Compound: ZnSiAs3
Source: Alexandria
Functional: meta-GGA SCAN
Structure: single point on PBEsol structure

Properties
Formation energy (no corrections) ... 824 meV per atom
Space-group type ... Pm-3m (221)

a b c (Å): 4.7113 4.7113 4.7113
angles (deg): 90.00 90.00 90.00
Positions (direct):
Zn1 0.0000 0.0000 0.0000
Si1 0.5000 0.5000 0.5000
As1 0.0000 0.5000 0.5000
As2 0.5000 0.0000 0.5000
As3 0.5000 0.5000 0.0000

=====

(16)
Compound: SrCuHg
Source: Alexandria
Functional: meta-GGA SCAN
Structure: single point on PBEsol structure

Properties
Energy relative to the elements ... -1.1 eV per formula unit
Space-group type ... P-6m2 (187)

a b c (Å): 4.5520 4.5520 4.1488
angles (deg): 90.00 90.00 120.00
Positions (direct):
Sr1 0.0000 0.0000 0.0000
Cu1 0.3333 0.6667 0.5000
Hg1 0.6667 0.3333 0.5000

=====

(17)
Compound: Re2Rh3
Source: Alexandria
Functional: meta-GGA SCAN
Structure: single point on PBEsol structure

Properties
Energy relative to the elements ... -0.6 eV per formula unit
Energy above the lowest structure with this stoichiometry ... 0 meV per atom
Space-group type ... Immm (71)

a b c (Å): 7.1047 7.1047 7.1047
angles (deg): 158.23 148.64 38.50
Positions (direct):
Re1 0.1018 0.1018 0.0000
Re2 0.8982 0.8982 0.0000
Rh1 0.3038 0.3038 0.0000
Rh2 0.5000 0.5000 0.0000
Rh3 0.6962 0.6962 0.0000

=====

(18)
Compound: Ag3Te
Source: Alexandria
Functional: meta-GGA SCAN
Structure: single point on PBEsol structure

Properties
Formation energy (no corrections) ... 27 meV per atom
Energy above the lowest structure with this stoichiometry ... 14 meV per atom
Space-group type ... I4/mmm (139)

a b c (Å): 9.0082 9.0082 9.0082
angles (deg): 152.71 152.71 38.97
Positions (direct):
Ag1 0.0000 0.5000 0.5000
Ag2 0.1184 0.1184 0.0000
Ag3 0.2500 0.7500 0.5000
Ag4 0.5000 0.0000 0.5000
Ag5 0.7500 0.2500 0.5000
Ag6 0.8816 0.8816 0.0000
Te1 0.3705 0.3705 0.0000
Te2 0.6295 0.6295 0.0000

=====

(19)
Compound: Cr4MoOs
Source: Alexandria
Functional: meta-GGA SCAN
Structure: single point on PBEsol structure

Properties
Energy relative to the elements ... 0.4 eV per formula unit
Space-group type ... F-43m (216)

a b c (Å): 4.7063 4.7063 4.7063
angles (deg): 60.00 60.00 60.00
Positions (direct):
Cr1 0.3761 0.3761 0.3761
Cr2 0.3761 0.3761 0.8717
Cr3 0.3761 0.8717 0.3761
Cr4 0.8717 0.3761 0.3761
Mo1 0.7500 0.7500 0.7500
Os1 0.0000 0.0000 0.0000

=====

(20)
Compound: SrTl5
Source: Alexandria
Functional: meta-GGA SCAN
Structure: single point on PBEsol structure

Properties
Energy relative to the elements ... -1.1 eV per formula unit
Energy above the lowest structure with this stoichiometry ... 62 meV per atom
Space-group type ... P4/mmm (123)

a b c (Å): 4.1001 4.1001 10.4503
angles (deg): 90.00 90.00 90.00
Positions (direct):
Sr1 0.0000 0.0000 0.0000
Tl1 0.0000 0.0000 0.3395
Tl2 0.0000 0.0000 0.6605
Tl3 0.5000 0.5000 0.1867
Tl4 0.5000 0.5000 0.5000
Tl5 0.5000 0.5000 0.8133

=====

Q: Which uncorrected energy values were calculated for the entries above? A: -171.00, -187.99, -598.47, -154.56, -62.15, -126.38, -146.59, -141.59, -261.11, -451.94, -174.28, -303.03, -176.83, -169.35, -79.98, -106.71, -244.13, -262.49, -179.93, -385.18, in eV/cell.
Q: Which Fermi-level density of states values were calculated for the entries above? A: 0.7997, 0.9675, 0.3806, 0.0000, 0.7518, 0.7861, 0.4519, 0.5416, 0.9415, 1.2993, 0.2112, 0.5964, 1.0441, 0.8032, 0.6339, 0.5058, 0.5903, 0.2411, 0.9875, 0.4716, in states/eV/atom.
Q: Which V values were calculated for the entries above? A: 120.2, 111.0, 536.0, 293.6, 70.5, 136.7, 70.5, 105.0, 117.1, 844.3, 274.6, 191.0, 178.4, 62.3, 104.6, 74.4, 69.1, 153.4, 73.7, 175.7, in Å³/cell.